Entry from the Alexandria database: an optimized crystal structure of NbHPt3 (PBE).

Calculated values
- D(E_F): 0.845 states/eV per atom
- Relative energy among the computed polymorphs: 0.000 eV/atom

Geometry as POSCAR:
```
NbHPt3
1.0
-1.019 2.832 -2.749
-3.692 0.320 1.697
1.395 2.914 2.485
Nb Pt H
1 3 1
direct
0.500 0.500 0.500 Nb
0.500 0.000 0.000 Pt
0.000 0.000 0.500 Pt
0.000 0.500 0.000 Pt
0.000 0.000 0.000 H
```

Entry from the Alexandria database: an optimized crystal structure of Nb2HPt (PBE).

Calculated values
- D(E_F): 0.438 states/eV per atom
- Relative energy among the computed polymorphs: 0.202 eV/atom

Geometry as POSCAR:
```
Nb2HPt
1.0
-0.320 -0.924 3.740
-0.263 -3.709 1.059
5.967 -1.852 2.051
Nb Pt H
2 1 1
direct
0.902 0.902 0.293 Nb
0.098 0.098 0.707 Nb
0.500 0.500 0.500 Pt
0.000 0.000 0.000 H
```

Entry from the Alexandria database: an optimized crystal structure of Nb3HPt (PBE).

Calculated values
- D(E_F): 1.307 states/eV per atom
- Relative energy among the computed polymorphs: 0.000 eV/atom

Geometry as POSCAR:
```
Nb3HPt
1.0
4.158 0.000 0.000
0.000 4.158 0.000
0.000 0.000 4.158
Nb Pt H
3 1 1
direct
0.000 0.500 0.000 Nb
0.500 0.000 0.000 Nb
0.000 0.000 0.500 Nb
0.500 0.500 0.500 Pt
0.000 0.000 0.000 H
```

Among the records above, which one has the highest D(E_F)?
Nb3HPt

What is the D(E_F) in the third record?
1.307 states/eV per atom

Copy entry 2 word for word.
Entry from the Alexandria database: an optimized crystal structure of Nb2HPt (PBE).

Calculated values
- D(E_F): 0.438 states/eV per atom
- Relative energy among the computed polymorphs: 0.202 eV/atom

Geometry as POSCAR:
```
Nb2HPt
1.0
-0.320 -0.924 3.740
-0.263 -3.709 1.059
5.967 -1.852 2.051
Nb Pt H
2 1 1
direct
0.902 0.902 0.293 Nb
0.098 0.098 0.707 Nb
0.500 0.500 0.500 Pt
0.000 0.000 0.000 H
```